Computed, not measured: a relaxed structure of SnWNO2 at the PBE+U level of DFT.

Cell: 4.0147 4.0147 4.0967 Å, 90.00 90.00 90.00°
Element x y z (fractional)
O  0.0000  0.5000  0.0000
O  0.5000  0.0000  0.0000
N  0.0000  0.0000  0.5000
W  0.0000  0.0000  0.0000
Sn  0.5000  0.5000  0.5000

**E_tot**: -33.5 eV per cell
**Density**: 8765 kg/m3
**M_tot**: 0.552 μB/cell